[1]
{
  "formula": "EuZnBiPd",
  "functional": "PBE",
  "state": "relaxed",
  "lattice_angstrom": [[5.046, 0.000, 0.000], [2.523, 4.370, 0.000], [2.523, 1.457, 4.120]],
  "species": ["Eu", "Zn", "Bi", "Pd"],
  "frac_coords": [[0.750, 0.750, 0.750], [0.500, 0.500, 0.500], [0.250, 0.250, 0.250], [0.000, 0.000, 0.000]],
  "delta_e_f_ev_per_atom": -0.440
}

[2]
{
  "formula": "SmY4Al5",
  "functional": "PBE",
  "state": "relaxed",
  "lattice_angstrom": [[-0.394, -2.492, -2.590], [2.685, 1.527, -1.878], [11.993, -10.684, 8.456]],
  "species": ["Sm", "Y", "Y", "Y", "Y", "Al", "Al", "Al", "Al", "Al"],
  "frac_coords": [[0.000, 0.000, 0.000], [0.000, 0.000, 0.203], [0.000, 0.000, 0.401], [0.000, 0.000, 0.599], [0.000, 0.000, 0.797], [0.500, 0.500, 0.105], [0.500, 0.500, 0.302], [0.500, 0.500, 0.500], [0.500, 0.500, 0.698], [0.500, 0.500, 0.895]],
  "delta_e_f_ev_per_atom": -0.409
}

[3]
{
  "formula": "Rb2Cd5Sn",
  "functional": "PBE",
  "state": "relaxed",
  "lattice_angstrom": [[-3.878, 2.187, 3.146], [-4.170, -7.149, -4.893], [2.453, -6.675, 7.663]],
  "species": ["Rb", "Rb", "Rb", "Rb", "Cd", "Cd", "Cd", "Cd", "Cd", "Cd", "Cd", "Cd", "Cd", "Cd", "Sn", "Sn"],
  "frac_coords": [[0.798, 0.596, 0.750], [0.202, 0.404, 0.250], [0.000, 0.000, 0.000], [0.000, 0.000, 0.500], [0.189, 0.379, 0.893], [0.811, 0.621, 0.107], [0.189, 0.379, 0.607], [0.811, 0.621, 0.393], [0.350, 0.700, 0.985], [0.650, 0.300, 0.015], [0.350, 0.700, 0.515], [0.650, 0.300, 0.485], [0.594, 0.189, 0.750], [0.406, 0.811, 0.250], [0.436, 0.872, 0.750], [0.564, 0.128, 0.250]],
  "polymorph_energy_mev_per_atom": 0,
  "delta_e_f_ev_per_atom": -0.060
}

[4]
{
  "formula": "Tb5Pm5In2",
  "functional": "PBE",
  "state": "relaxed",
  "lattice_angstrom": [[4.870, 0.000, -0.001], [-2.435, 7.572, -0.001], [-0.002, -0.001, 10.009]],
  "species": ["Tb", "Tb", "Tb", "Tb", "Tb", "Pm", "Pm", "Pm", "Pm", "Pm", "In", "In"],
  "frac_coords": [[0.670, 0.339, 0.501], [0.827, 0.656, 0.749], [0.173, 0.344, 0.251], [0.330, 0.661, 0.499], [0.000, 0.000, 0.000], [0.000, 0.000, 0.500], [0.668, 0.336, 0.999], [0.494, 0.989, 0.250], [0.506, 0.011, 0.750], [0.332, 0.664, 0.001], [0.169, 0.339, 0.748], [0.831, 0.661, 0.252]],
  "polymorph_energy_mev_per_atom": 0,
  "delta_e_f_ev_per_atom": -0.135
}

[5]
{
  "formula": "Pu2AlIn8",
  "functional": "PBE",
  "state": "relaxed",
  "lattice_angstrom": [[4.835, 0.000, 0.000], [0.000, 4.835, 0.000], [0.000, 0.000, 11.918]],
  "species": ["Pu", "Pu", "Al", "In", "In", "In", "In", "In", "In", "In", "In"],
  "frac_coords": [[0.000, 0.000, 0.309], [0.000, 0.000, 0.691], [0.000, 0.000, 0.000], [0.000, 0.500, 0.500], [0.500, 0.000, 0.500], [0.500, 0.500, 0.312], [0.500, 0.500, 0.688], [0.000, 0.500, 0.131], [0.500, 0.000, 0.131], [0.000, 0.500, 0.869], [0.500, 0.000, 0.869]],
  "delta_e_f_ev_per_atom": -0.137
}

[6]
{
  "formula": "SrPdO4",
  "functional": "PBE",
  "state": "relaxed",
  "lattice_angstrom": [[5.187, -0.197, 0.000], [-0.778, 5.648, 0.000], [0.000, 0.000, 5.669]],
  "species": ["Sr", "Sr", "Pd", "Pd", "O", "O", "O", "O", "O", "O", "O", "O"],
  "frac_coords": [[0.500, 0.750, 0.245], [0.500, 0.250, 0.755], [0.000, 0.250, 0.363], [0.000, 0.750, 0.637], [0.115, 0.483, 0.058], [0.885, 0.017, 0.058], [0.115, 0.983, 0.942], [0.765, 0.991, 0.574], [0.235, 0.009, 0.426], [0.885, 0.517, 0.942], [0.765, 0.491, 0.426], [0.235, 0.509, 0.574]],
  "e_form_raw_ev_per_atom": -0.97
}